VASP calculation (PBE+U) on a geometry-optimized NaCrF3 structure.

Computed properties:
Theoretical density: 3.272 g/cm3
Magnetic moment: 4.000 μB per cell
DFT total energy: -4.565 eV per atom
Symmetry: No. 221
Distance to the lowest polymorph of the same formula: 942 meV/atom

Cell lengths 4.061, 4.061, 4.061 Å; angles 90.00, 90.00, 90.00 degrees
Site moments in Bohr magnetons follow the coordinates.
Element x y z (fractional)
1 Na 0.000 0.000 0.000  0.00
2 F 0.500 0.000 0.000  -0.06
3 F 0.000 0.500 0.000  -0.12
4 Cr 0.500 0.500 0.500  3.99
5 F 0.000 0.000 0.500  -0.05